Run a
# ScGaNiHg GGA-PBE relaxed
data_ScGaNiHg
_chemical_formula_sum 'Sc4 Ga4 Ni4 Hg4'
_cell_length_a 6.488
_cell_length_b 6.488
_cell_length_c 6.488
_cell_angle_alpha 90.00
_cell_angle_beta 90.00
_cell_angle_gamma 90.00
_space_group_name_H-M_alt 'F -4 3 m'
_space_group_IT_number 216
_space_group_name_Hall 'F -4 2 3'
loop_
_atom_site_label
_atom_site_type_symbol
_atom_site_fract_x
_atom_site_fract_y
_atom_site_fract_z
Sc1 Sc 0.000 0.000 0.000
Ga1 Ga 0.000 0.000 0.500
Ni1 Ni 0.250 0.250 0.750
Hg1 Hg 0.250 0.250 0.250
# crystal system	cubic



Run b
# ScGaNiHg GGA-PBE relaxed
data_ScGaNiHg
_chemical_formula_sum 'Sc4 Ga4 Ni4 Hg4'
_cell_length_a 6.468
_cell_length_b 6.468
_cell_length_c 6.468
_cell_angle_alpha 90.00
_cell_angle_beta 90.00
_cell_angle_gamma 90.00
_space_group_name_H-M_alt 'F -4 3 m'
_space_group_IT_number 216
_space_group_name_Hall 'F -4 2 3'
loop_
_atom_site_label
_atom_site_type_symbol
_atom_site_fract_x
_atom_site_fract_y
_atom_site_fract_z
Sc1 Sc 0.000 0.000 0.000
Ga1 Ga 0.250 0.250 0.250
Ni1 Ni 0.000 0.000 0.500
Hg1 Hg 0.250 0.250 0.750
# crystal system	cubic



run b wins, 32 meV/atom ahead of the next structure.



Run a
# GaHgPO GGA-PBE relaxed
data_GaHgPO
_chemical_formula_sum 'Ga2 Hg2 P2 O2'
_cell_length_a 3.902
_cell_length_b 6.608
_cell_length_c 5.899
_cell_angle_alpha 90.00
_cell_angle_beta 90.00
_cell_angle_gamma 90.00
_space_group_name_H-M_alt 'P m c 21'
_space_group_IT_number 26
loop_
_space_group_symop_operation_xyz
'x,y,z'
'-x,-y,z+1/2'
'-x,y,z'
'x,-y,z+1/2'
loop_
_atom_site_label
_atom_site_type_symbol
_atom_site_fract_x
_atom_site_fract_y
_atom_site_fract_z
Ga1 Ga 0.000 0.129 0.000
Hg1 Hg 0.500 0.329 0.463
P1 P 0.500 0.296 0.884
O1 O 0.000 0.115 0.325
# crystal system	orthorhombic



Run b
# GaHgPO GGA-PBE relaxed
data_GaHgPO
_chemical_formula_sum 'Ga2 Hg2 P2 O2'
_cell_length_a 3.304
_cell_length_b 6.807
_cell_length_c 6.517
_cell_angle_alpha 90.00
_cell_angle_beta 90.00
_cell_angle_gamma 90.00
_space_group_name_H-M_alt 'P m c 21'
_space_group_IT_number 26
loop_
_space_group_symop_operation_xyz
'x,y,z'
'-x,-y,z+1/2'
'-x,y,z'
'x,-y,z+1/2'
loop_
_atom_site_label
_atom_site_type_symbol
_atom_site_fract_x
_atom_site_fract_y
_atom_site_fract_z
Ga1 Ga 0.000 0.188 0.000
Hg1 Hg 0.500 0.343 0.555
P1 P 0.000 0.128 0.355
O1 O 0.500 0.321 0.927
# crystal system	orthorhombic



run a wins, 179 meV/atom ahead of the next structure.



Run a
# GaHgPO GGA-PBE relaxed
data_GaHgPO
_chemical_formula_sum 'Ga2 Hg2 P2 O2'
_cell_length_a 4.283
_cell_length_b 4.283
_cell_length_c 8.715
_cell_angle_alpha 90.00
_cell_angle_beta 90.00
_cell_angle_gamma 90.00
_space_group_name_H-M_alt 'P 4/n m m'
_space_group_IT_number 129
loop_
_space_group_symop_operation_xyz
'x,y,z'
'-x,-y,-z'
'-y+1/2,x,z'
'y+1/2,-x,-z'
'-x+1/2,-y+1/2,z'
'x+1/2,y+1/2,-z'
'y,-x+1/2,z'
'-y,x+1/2,-z'
'x+1/2,-y,-z'
'-x+1/2,y,z'
'-y,-x,-z'
'y,x,z'
'-x,y+1/2,-z'
'x,-y+1/2,z'
'y+1/2,x+1/2,-z'
'-y+1/2,-x+1/2,z'
loop_
_atom_site_label
_atom_site_type_symbol
_atom_site_fract_x
_atom_site_fract_y
_atom_site_fract_z
Ga1 Ga 0.250 0.750 0.000
Hg1 Hg 0.250 0.250 0.421
P1 P 0.250 0.250 0.850
O1 O 0.250 0.750 0.500
# crystal system	tetragonal



Run b
# GaHgPO GGA-PBE relaxed
data_GaHgPO
_chemical_formula_sum 'Ga2 Hg2 P2 O2'
_cell_length_a 3.949
_cell_length_b 3.949
_cell_length_c 8.893
_cell_angle_alpha 90.00
_cell_angle_beta 90.00
_cell_angle_gamma 90.00
_space_group_name_H-M_alt 'P 4/n m m'
_space_group_IT_number 129
loop_
_space_group_symop_operation_xyz
'x,y,z'
'-x,-y,-z'
'-y+1/2,x,z'
'y+1/2,-x,-z'
'-x+1/2,-y+1/2,z'
'x+1/2,y+1/2,-z'
'y,-x+1/2,z'
'-y,x+1/2,-z'
'x+1/2,-y,-z'
'-x+1/2,y,z'
'-y,-x,-z'
'y,x,z'
'-x,y+1/2,-z'
'x,-y+1/2,z'
'y+1/2,x+1/2,-z'
'-y+1/2,-x+1/2,z'
loop_
_atom_site_label
_atom_site_type_symbol
_atom_site_fract_x
_atom_site_fract_y
_atom_site_fract_z
Ga1 Ga 0.250 0.250 0.087
Hg1 Hg 0.250 0.750 0.500
P1 P 0.250 0.250 0.708
O1 O 0.250 0.750 0.000
# crystal system	tetragonal



run b wins, 155 meV/atom ahead of the next structure.



Run a
# GaHgSO GGA-PBE relaxed
data_GaHgSO
_chemical_formula_sum 'Ga4 Hg4 S4 O4'
_cell_length_a 6.198
_cell_length_b 8.516
_cell_length_c 5.951
_cell_angle_alpha 90.00
_cell_angle_beta 90.00
_cell_angle_gamma 90.00
_space_group_name_H-M_alt 'P c a 21'
_space_group_IT_number 29
loop_
_space_group_symop_operation_xyz
'x,y,z'
'-x,-y,z+1/2'
'-x+1/2,y,z+1/2'
'x+1/2,-y,z'
loop_
_atom_site_label
_atom_site_type_symbol
_atom_site_fract_x
_atom_site_fract_y
_atom_site_fract_z
Ga1 Ga 0.071 0.126 0.000
Hg1 Hg 0.149 0.550 0.919
S1 S 0.066 0.116 0.605
O1 O 0.036 0.686 0.582
# crystal system	orthorhombic



Run b
# GaHgSO GGA-PBE relaxed
data_GaHgSO
_chemical_formula_sum 'Ga4 Hg4 S4 O4'
_cell_length_a 7.201
_cell_length_b 6.484
_cell_length_c 5.746
_cell_angle_alpha 90.00
_cell_angle_beta 92.93
_cell_angle_gamma 90.00
_space_group_name_H-M_alt 'P 1 21/c 1'
_space_group_IT_number 14
loop_
_space_group_symop_operation_xyz
'x,y,z'
'-x,-y,-z'
'-x,y+1/2,-z+1/2'
'x,-y+1/2,z+1/2'
loop_
_atom_site_label
_atom_site_type_symbol
_atom_site_fract_x
_atom_site_fract_y
_atom_site_fract_z
Ga1 Ga 0.022 0.128 0.278
Hg1 Hg 0.439 0.703 0.975
S1 S 0.224 0.088 0.954
O1 O 0.097 0.645 0.914
# crystal system	monoclinic



run b wins, 109 meV/atom ahead of the next structure.



Run a
# GaHgSO GGA-PBE relaxed
data_GaHgSO
_chemical_formula_sum 'Ga2 Hg2 S2 O2'
_cell_length_a 3.607
_cell_length_b 8.195
_cell_length_c 5.499
_cell_angle_alpha 90.00
_cell_angle_beta 90.00
_cell_angle_gamma 90.00
_space_group_name_H-M_alt 'P m c 21'
_space_group_IT_number 26
loop_
_space_group_symop_operation_xyz
'x,y,z'
'-x,-y,z+1/2'
'-x,y,z'
'x,-y,z+1/2'
loop_
_atom_site_label
_atom_site_type_symbol
_atom_site_fract_x
_atom_site_fract_y
_atom_site_fract_z
Ga1 Ga 0.000 0.118 0.000
Hg1 Hg 0.500 0.307 0.540
S1 S 0.500 0.298 0.050
O1 O 0.000 0.069 0.674
# crystal system	orthorhombic



Run b
# GaHgSO GGA-PBE relaxed
data_GaHgSO
_chemical_formula_sum 'Ga2 Hg2 S2 O2'
_cell_length_a 3.928
_cell_length_b 3.928
_cell_length_c 10.217
_cell_angle_alpha 90.00
_cell_angle_beta 90.00
_cell_angle_gamma 90.00
_space_group_name_H-M_alt 'P 4/n m m'
_space_group_IT_number 129
loop_
_space_group_symop_operation_xyz
'x,y,z'
'-x,-y,-z'
'-y+1/2,x,z'
'y+1/2,-x,-z'
'-x+1/2,-y+1/2,z'
'x+1/2,y+1/2,-z'
'y,-x+1/2,z'
'-y,x+1/2,-z'
'x+1/2,-y,-z'
'-x+1/2,y,z'
'-y,-x,-z'
'y,x,z'
'-x,y+1/2,-z'
'x,-y+1/2,z'
'y+1/2,x+1/2,-z'
'-y+1/2,-x+1/2,z'
loop_
_atom_site_label
_atom_site_type_symbol
_atom_site_fract_x
_atom_site_fract_y
_atom_site_fract_z
Ga1 Ga 0.250 0.250 0.072
Hg1 Hg 0.250 0.750 0.500
S1 S 0.250 0.250 0.289
O1 O 0.250 0.750 0.000
# crystal system	tetragonal



run a wins, 189 meV/atom ahead of the next structure.



Run a
# GaHgTeO GGA-PBE relaxed
data_GaHgTeO
_chemical_formula_sum 'Ga2 Hg2 Te2 O2'
_cell_length_a 4.020
_cell_length_b 4.020
_cell_length_c 9.901
_cell_angle_alpha 90.00
_cell_angle_beta 90.00
_cell_angle_gamma 90.00
_space_group_name_H-M_alt 'P 4/n m m'
_space_group_IT_number 129
loop_
_space_group_symop_operation_xyz
'x,y,z'
'-x,-y,-z'
'-y+1/2,x,z'
'y+1/2,-x,-z'
'-x+1/2,-y+1/2,z'
'x+1/2,y+1/2,-z'
'y,-x+1/2,z'
'-y,x+1/2,-z'
'x+1/2,-y,-z'
'-x+1/2,y,z'
'-y,-x,-z'
'y,x,z'
'-x,y+1/2,-z'
'x,-y+1/2,z'
'y+1/2,x+1/2,-z'
'-y+1/2,-x+1/2,z'
loop_
_atom_site_label
_atom_site_type_symbol
_atom_site_fract_x
_atom_site_fract_y
_atom_site_fract_z
Ga1 Ga 0.250 0.250 0.082
Hg1 Hg 0.250 0.750 0.500
Te1 Te 0.250 0.250 0.722
O1 O 0.250 0.750 0.000
# crystal system	tetragonal



Run b
# GaHgTeO GGA-PBE relaxed
data_GaHgTeO
_chemical_formula_sum 'Ga2 Hg2 Te2 O2'
_cell_length_a 4.101
_cell_length_b 8.809
_cell_length_c 5.819
_cell_angle_alpha 90.00
_cell_angle_beta 90.00
_cell_angle_gamma 90.00
_space_group_name_H-M_alt 'P m c 21'
_space_group_IT_number 26
loop_
_space_group_symop_operation_xyz
'x,y,z'
'-x,-y,z+1/2'
'-x,y,z'
'x,-y,z+1/2'
loop_
_atom_site_label
_atom_site_type_symbol
_atom_site_fract_x
_atom_site_fract_y
_atom_site_fract_z
Ga1 Ga 0.000 0.099 0.000
Hg1 Hg 0.500 0.288 0.558
Te1 Te 0.500 0.295 0.060
O1 O 0.000 0.065 0.688
# crystal system	orthorhombic



run b wins, 406 meV/atom ahead of the next structure.